--- i ---
ZnSi3F PBE relaxed; crystal system = cubic; mass density = 2.74 g cm⁻³; space group = Pm-3m; spin magnetization = 0.00 μB/cell
1.0
-3.676 2.820 0.626
-2.176 -2.038 -3.601
-1.899 -3.123 2.915
Zn Si F
1 3 1
direct
0.000 0.000 0.000
0.000 0.500 0.000
0.000 0.000 0.500
0.500 0.000 0.000
0.500 0.500 0.500

--- ii ---
ZnSi3F PBE relaxed; crystal system = cubic; mass density = 3.27 g cm⁻³; space group = Pm-3m; spin magnetization = 0.00 μB/cell
1.0
4.406 0.000 0.000
0.000 4.406 0.000
0.000 0.000 4.406
F Zn Si
1 1 3
direct
0.000 0.000 0.000
0.500 0.500 0.500
0.000 0.000 0.500
0.500 0.000 0.000
0.000 0.500 0.000

Energy relative to the most stable one, in eV/atom: i 0.250; ii 0.000

--- i ---
ZrSi3F PBE relaxed; crystal system = cubic; mass density = 2.42 g cm⁻³; space group = Pm-3m; spin magnetization = 0.35 μB/cell
1.0
-0.714 -1.076 -4.941
-3.333 -3.652 1.277
-3.803 3.404 -0.191
Si Zr F
3 1 1
direct
0.000 0.500 0.000
0.000 0.000 0.500
0.500 0.000 0.000
0.000 0.000 0.000
0.500 0.500 0.500

--- ii ---
ZrSi3F PBE relaxed; crystal system = cubic; mass density = 4.05 g cm⁻³; space group = Pm-3m; spin magnetization = 0.00 μB/cell
1.0
4.303 0.000 0.000
0.000 4.303 0.000
0.000 0.000 4.303
Si F Zr
3 1 1
direct
0.000 0.500 0.000
0.000 0.000 0.500
0.500 0.000 0.000
0.000 0.000 0.000
0.500 0.500 0.500

Energy relative to the most stable one, in eV/atom: i 0.790; ii 0.000

--- i ---
Zr2SiF PBE relaxed; crystal system = cubic; mass density = 5.61 g cm⁻³; space group = Fm-3m; spin magnetization = 0.00 μB/cell
1.0
2.098 -2.143 3.461
-1.763 -3.867 1.704
2.115 -3.996 -0.727
Zr F Si
2 1 1
direct
0.750 0.750 0.750
0.250 0.250 0.250
0.000 0.000 0.000
0.500 0.500 0.500

--- ii ---
Zr2SiF PBE relaxed; crystal system = tetragonal; mass density = 4.59 g cm⁻³; space group = I-42d; spin magnetization = 0.00 μB/cell
1.0
-4.623 -2.123 -0.332
1.877 -4.374 1.825
-2.682 -1.326 6.701
F Si Zr
2 2 4
direct
0.250 0.750 0.500
0.500 0.500 0.000
0.000 0.000 0.000
0.750 0.250 0.500
0.375 0.432 0.750
0.875 0.818 0.750
0.182 0.625 0.250
0.568 0.125 0.250

Energy relative to the most stable one, in eV/atom: i 0.000; ii 0.385

--- i ---
ZrSi2F PBE relaxed; crystal system = cubic; mass density = 4.13 g cm⁻³; space group = Fm-3m; spin magnetization = 0.00 μB/cell
1.0
0.000 3.223 3.223
3.223 0.000 3.223
3.223 3.223 0.000
Si F Zr
2 1 1
direct
0.750 0.750 0.750
0.250 0.250 0.250
0.000 0.000 0.000
0.500 0.500 0.500

--- ii ---
ZrSi2F PBE relaxed; crystal system = tetragonal; mass density = 3.78 g cm⁻³; space group = I-42d; spin magnetization = 0.00 μB/cell
1.0
-2.117 2.822 3.064
-3.883 -0.093 -2.597
-5.159 -3.968 3.652
Si Zr F
4 2 2
direct
0.461 0.125 0.250
0.289 0.625 0.250
0.875 0.711 0.750
0.375 0.539 0.750
0.000 0.000 0.000
0.750 0.250 0.500
0.250 0.750 0.500
0.500 0.500 0.000

Energy relative to the most stable one, in eV/atom: i 0.000; ii 0.073

--- i ---
SmF4 PBE relaxed; crystal system = trigonal; mass density = 5.75 g cm⁻³; space group = R-3m; spin magnetization = 1.00 μB/cell
1.0
3.642 0.000 1.719
1.415 3.356 1.719
-0.227 -0.150 5.198
F Sm
4 1
direct
0.372 0.372 0.885
0.628 0.628 0.115
0.831 0.831 0.507
0.169 0.169 0.493
0.000 0.000 0.000

--- ii ---
SmF4 PBE relaxed; crystal system = cubic; mass density = 4.09 g cm⁻³; space group = Pm-3m; spin magnetization = 1.01 μB/cell
1.0
4.514 0.000 0.000
0.000 4.514 0.000
0.000 0.000 4.514
F Sm
4 1
direct
0.000 0.500 0.500
0.500 0.000 0.500
0.000 0.000 0.000
0.500 0.500 0.000
0.500 0.500 0.500

Energy relative to the most stable one, in eV/atom: i 0.000; ii 0.083

--- i ---
SmSnF PBE relaxed; crystal system = monoclinic; mass density = 6.34 g cm⁻³; space group = C2/m; spin magnetization = 0.00 μB/cell
1.0
-0.966 -1.597 -3.220
-5.610 -2.424 0.734
-6.189 4.235 -2.395
F Sm Sn
2 2 2
direct
0.294 0.830 0.582
0.706 0.170 0.418
0.301 0.153 0.245
0.699 0.847 0.755
0.952 0.255 0.840
0.048 0.745 0.160

--- ii ---
SmSnF PBE relaxed; crystal system = hexagonal; mass density = 6.66 g cm⁻³; space group = P-6m2; spin magnetization = 0.00 μB/cell
1.0
5.293 0.000 0.000
0.000 3.959 0.000
0.000 -1.979 3.428
Sm F Sn
1 1 1
direct
0.166 0.000 0.000
0.167 0.333 0.667
0.667 0.667 0.333

Energy relative to the most stable one, in eV/atom: i 0.000; ii 0.089

--- i ---
Sm2TcF PBE relaxed; crystal system = trigonal; mass density = 8.54 g cm⁻³; space group = R-3m; spin magnetization = 0.85 μB/cell
1.0
3.170 0.000 0.000
1.585 2.745 0.000
1.585 0.915 9.334
F Sm Tc
1 2 1
direct
0.500 0.500 0.500
0.097 0.097 0.710
0.903 0.903 0.290
0.000 0.000 0.000

--- ii ---
Sm2TcF PBE relaxed; crystal system = tetragonal; mass density = 8.32 g cm⁻³; space group = P4/mmm; spin magnetization = 0.00 μB/cell
1.0
-1.242 2.603 -1.712
-3.010 -1.478 -0.063
-1.774 3.345 6.371
F Tc Sm
1 1 2
direct
0.500 0.500 0.500
0.500 0.500 0.000
0.000 0.000 0.235
0.000 0.000 0.765

Energy relative to the most stable one, in eV/atom: i 0.491; ii 0.000

--- i ---
SmTeF PBE relaxed; crystal system = tetragonal; mass density = 7.26 g cm⁻³; space group = I4mm; spin magnetization = 0.00 μB/cell
1.0
-2.110 0.744 -2.790
0.778 -3.181 -1.437
-3.463 -0.942 4.660
Te Sm F
1 1 1
direct
0.012 0.012 0.024
0.705 0.705 0.410
0.283 0.283 0.565

--- ii ---
SmTeF PBE relaxed; crystal system = tetragonal; mass density = 7.50 g cm⁻³; space group = P4/nmm; spin magnetization = 0.00 μB/cell
1.0
4.155 0.000 0.000
0.000 7.472 1.486
0.000 -0.811 4.075
F Te Sm
2 2 2
direct
0.750 0.500 0.250
0.250 0.500 0.750
0.250 0.860 0.250
0.750 0.140 0.750
0.750 0.698 0.750
0.250 0.302 0.250

--- iii ---
SmTeF PBE relaxed; crystal system = hexagonal; mass density = 7.30 g cm⁻³; space group = P-6m2; spin magnetization = 0.00 μB/cell
1.0
4.202 0.000 0.000
-2.101 3.639 0.000
0.000 0.000 4.417
F Sm Te
1 1 1
direct
0.333 0.667 0.500
0.667 0.333 0.500
0.000 0.000 0.000

Energy relative to the most stable one, in eV/atom: i 0.555; ii 0.029; iii 0.000